Computed, not measured: a relaxed Y7Co2Te2 crystal at the PBE-GGA level of DFT.

formation energy (no corrections)	-608	meV/atom
final energy	-6.58	eV per atom

a b c (Å): 3.864 15.732 9.548
angles (deg): 90.00 90.00 90.00
Space group Imm2 (No. 44)
Inequivalent atoms, fractional coordinates:
Y 0.000 0.000 0.000
Y 0.000 0.133 0.581
Y 0.000 0.315 0.378
Y 0.000 0.352 0.730
Co 0.000 0.238 0.071
Te 0.000 0.000 0.335
Te 0.000 0.500 0.236



Computed, not measured: a relaxed YCoTe2 crystal at the PBE-GGA level of DFT.

formation energy (no corrections)	-440	meV/atom
final energy	-5.40	eV per atom

a b c (Å): 3.953 3.794 6.882
angles (deg): 90.00 105.18 90.00
Space group P2/m (No. 10)
Inequivalent atoms, fractional coordinates:
Y 0.000 0.000 0.000
Co 0.500 0.000 0.500
Te 0.419 0.500 0.735



Computed, not measured: a relaxed YCoTe2 crystal at the PBE-GGA level of DFT.

formation energy (no corrections)	-575	meV/atom
final energy	-5.54	eV per atom

a b c (Å): 4.2239 4.2239 19.4640
angles (deg): 90.00 90.00 120.00
Space group R-3m (No. 166, hexagonal axes)
Inequivalent atoms, fractional coordinates:
Y 0.0000 0.0000 0.0000
Co 0.0000 0.0000 0.5000
Te 0.0000 0.0000 0.2367



Computed, not measured: a relaxed YCo2Te crystal at the PBE-GGA level of DFT.

formation energy (no corrections)	-84	meV/atom
final energy	-6.04	eV per atom

a b c (Å): 4.323 4.323 3.685
angles (deg): 90.00 90.00 90.00
Space group P4/mmm (No. 123)
Inequivalent atoms, fractional coordinates:
Y 0.000 0.000 0.000
Co 0.000 0.500 0.500
Te 0.500 0.500 0.000